No. 1
Density functional theory data (PBE) for crystalline Y3NO2 at its relaxed geometry.

Calculated values
- ΔE_f (raw): -2.487 eV/atom
- Excess energy over the best structure of this formula in the dataset: 0 meV/atom

abc: 4.8463 6.8788 10.3290
angles: 90.00 90.00 90.00
With the nearest neighbours (Å) after each atom.
Fractional coordinates of all 24 atoms:
Y  0.2500  0.6211  0.5802  3 N 2.41-2.42, 3 O 2.43-2.48
Y  0.2500  0.1211  0.9198  3 N 2.41-2.42, 3 O 2.43-2.48
Y  0.2501  0.6294  0.9196  1 N 2.38, 5 O 2.42-2.48
Y  0.2501  0.1294  0.5804  1 N 2.38, 5 O 2.42-2.48
Y  0.2499  0.6247  0.2509  4 O 2.42-2.44, 2 N 2.43
Y  0.2499  0.1247  0.2491  4 O 2.42-2.44, 2 N 2.43
Y  0.7501  0.8753  0.7509  4 O 2.42-2.44, 2 N 2.43
Y  0.7501  0.3753  0.7491  4 O 2.42-2.44, 2 N 2.43
Y  0.7499  0.8706  0.4196  1 N 2.38, 5 O 2.42-2.48
Y  0.7499  0.3706  0.0804  1 N 2.38, 5 O 2.42-2.48
Y  0.7500  0.8789  0.0802  3 N 2.41-2.42, 3 O 2.43-2.48
Y  0.7500  0.3789  0.4198  3 N 2.41-2.42, 3 O 2.43-2.48
N  0.2499  0.8726  0.0838  6 Y 2.38-2.43
N  0.2499  0.3726  0.4162  6 Y 2.38-2.43
N  0.7501  0.6274  0.5838  6 Y 2.38-2.43
N  0.7501  0.1274  0.9162  6 Y 2.38-2.43
O  0.2502  0.8751  0.7505  6 Y 2.42-2.48
O  0.2502  0.3751  0.7495  6 Y 2.42-2.48
O  0.2499  0.8763  0.4167  6 Y 2.42-2.44
O  0.2499  0.3763  0.0833  6 Y 2.42-2.44
O  0.7501  0.6237  0.9167  6 Y 2.42-2.44
O  0.7501  0.1237  0.5833  6 Y 2.42-2.44
O  0.7498  0.6249  0.2505  6 Y 2.42-2.48
O  0.7498  0.1249  0.2495  6 Y 2.42-2.48

---

No. 2
Density functional theory data (PBE) for crystalline AlB2P at its relaxed geometry.

Calculated values
- Excess energy over the best structure of this formula in the dataset: 41 meV/atom
- E_form: 59 meV/atom

abc: 4.0713 4.1646 6.7753
angles: 90.00 93.74 90.00
With the nearest neighbours (Å) after each atom.
Fractional coordinates of all 8 atoms:
P  0.7233  0.0000  0.2967  4 B 1.89-1.98
P  0.6828  0.5000  0.8300  4 Al 2.43-2.44
B  0.3677  0.3011  0.3234  3 B 1.66-1.77
B  0.3677  0.6989  0.3234  3 B 1.66-1.77
B  0.1571  0.0000  0.4472  3 B 1.73-1.76
B  0.1408  0.0000  0.1913  3 B 1.73-1.77, 1 P 1.89
Al  0.2037  0.5000  0.0256  4 B 2.24-2.39, 2 P 2.43
Al  0.6057  0.0000  0.6446  1 B 2.19, 3 P 2.44

---

No. 3
Density functional theory data (PBE) for crystalline Ba2Al5Ag5 at its relaxed geometry.

Calculated values
- Excess energy over the best structure of this formula in the dataset: 0 meV/atom
- E_form: -273 meV/atom

abc: 7.0897 7.0897 5.5751
angles: 90.00 90.00 104.03
With the nearest neighbours (Å) after each atom.
Fractional coordinates of all 12 atoms:
Ba  0.8379  0.8379  0.0000  7 Ag 3.46-3.56, 6 Al 3.58-3.84
Ba  0.1788  0.1788  0.5000  5 Al 3.51-3.83, 8 Ag 3.55-3.61
Al  0.2902  0.6980  0.2506  5 Ag 2.65-2.80, 3 Al 2.78-2.79
Al  0.2902  0.6980  0.7494  5 Ag 2.65-2.80, 3 Al 2.78-2.79
Al  0.6980  0.2902  0.2506  5 Ag 2.65-2.80, 3 Al 2.78-2.79
Al  0.6980  0.2902  0.7494  5 Ag 2.65-2.80, 3 Al 2.78-2.79
Al  0.5809  0.5809  0.5000  2 Ag 2.71, 4 Al 2.78
Ag  0.4191  0.0214  0.0000  4 Al 2.65-2.77, 1 Ag 2.95
Ag  0.9626  0.5810  0.5000  5 Al 2.66-2.80
Ag  0.5810  0.9626  0.5000  5 Al 2.66-2.80
Ag  0.0214  0.4191  0.0000  4 Al 2.65-2.77, 1 Ag 2.95
Ag  0.4419  0.4419  0.0000  4 Al 2.71, 2 Ag 2.95

---

No. 4
Density functional theory data (PBE) for crystalline Pm7Ge2Pb2 at its relaxed geometry.

Calculated values
- E_form: -369 meV/atom

abc: 7.1818 7.0734 7.1818
angles: 90.00 104.97 90.00
With the nearest neighbours (Å) after each atom.
Fractional coordinates of all 11 atoms:
Pm  0.0001  0.2695  0.5001  2 Ge 2.91, 1 Pm 3.26
Pm  0.5001  0.7305  0.0001  2 Ge 2.91, 1 Pm 3.26
Pm  0.9999  0.7305  0.4999  2 Ge 2.91, 1 Pm 3.26
Pm  0.4999  0.2695  0.9999  2 Ge 2.91, 1 Pm 3.26
Pm  0.0000  0.0000  0.0000  2 Ge 3.09
Pm  0.5000  0.7581  0.5000  2 Ge 3.12, 2 Pb 3.33, 1 Pm 3.42
Pm  0.5000  0.2419  0.5000  2 Ge 3.12, 2 Pb 3.33, 1 Pm 3.42
Ge  0.7286  0.0001  0.2714  7 Pm 2.91-3.12
Ge  0.2714  0.9999  0.7286  7 Pm 2.91-3.12
Pb  0.8183  0.5000  0.8183  1 Pb 3.18, 6 Pm 3.33-3.34
Pb  0.1817  0.5000  0.1817  1 Pb 3.18, 6 Pm 3.33-3.34

---

No. 5
Density functional theory data (PBE) for crystalline Ac2SBr2 at its relaxed geometry.

Calculated values
- ΔE_f (raw): -1.894 eV/atom

abc: 4.3783 4.3783 11.2859
angles: 78.82 78.82 60.00
With the nearest neighbours (Å) after each atom.
Fractional coordinates of all 5 atoms:
Ac  0.6180  0.6180  0.1460  3 S 2.99, 3 Br 3.19
Ac  0.3820  0.3820  0.8540  3 S 2.99, 3 Br 3.19
S  0.0000  0.0000  0.0000  6 Ac 2.99
Br  0.2257  0.2257  0.3229  3 Ac 3.19
Br  0.7743  0.7743  0.6771  3 Ac 3.19

---

No. 6
Density functional theory data (PBE) for crystalline YZn12 at its relaxed geometry.

Calculated values
- E_form: -175 meV/atom

abc: 6.7721 6.7721 6.7721
angles: 98.77 98.77 134.02
With the nearest neighbours (Å) after each atom.
Fractional coordinates of all 13 atoms:
Y  0.0000  0.0000  0.0000  20 Zn 3.11-3.39
Zn  0.2821  0.5000  0.7821  8 Zn 2.59-2.80
Zn  0.5000  0.0000  0.0000  10 Zn 2.59-2.73
Zn  0.0000  0.0000  0.5000  10 Zn 2.59-2.73
Zn  0.5000  0.5000  0.5000  10 Zn 2.59-2.73
Zn  0.0000  0.5000  0.0000  10 Zn 2.59-2.73
Zn  0.6469  0.0000  0.6469  9 Zn 2.59-2.90
Zn  0.0000  0.3531  0.3531  9 Zn 2.59-2.90
Zn  0.0000  0.6469  0.6469  9 Zn 2.59-2.90
Zn  0.3531  0.0000  0.3531  9 Zn 2.59-2.90
Zn  0.7179  0.5000  0.2179  8 Zn 2.59-2.80
Zn  0.5000  0.2821  0.7821  8 Zn 2.59-2.80
Zn  0.5000  0.7179  0.2179  8 Zn 2.59-2.80